# HoGa4Rh2

A relaxed HoGa4Rh2 crystal (GGA-PBE, Alexandria via LeMat-Bulk).

Properties
formation energy from the elements: -0.7131 eV/atom
N(E_F): 10.60 states/eV per cell
E: -145.52 eV per cell

Cell and atoms, written as POSCAR:
```
HoGa4Rh2
1.0
16.548 0.000 0.000
0.000 4.170 0.000
0.000 0.000 6.796
Ho Ga Rh
4 16 8
Cartesian
2.357 1.042 0.449 Ho
5.917 3.127 3.848 Ho
10.631 1.042 2.949 Ho
14.191 3.127 6.347 Ho
0.392 3.127 0.955 Ga
0.892 1.042 3.368 Ga
2.899 3.127 2.542 Ga
3.450 3.127 5.513 Ga
4.824 1.042 2.114 Ga
5.375 1.042 5.940 Ga
7.382 3.127 6.766 Ga
7.882 1.042 4.353 Ga
8.666 3.127 2.443 Ga
9.166 1.042 0.031 Ga
11.173 3.127 0.856 Ga
11.724 3.127 4.682 Ga
13.097 1.042 1.284 Ga
13.649 1.042 4.254 Ga
15.656 3.127 3.429 Ga
16.156 1.042 5.841 Ga
0.969 3.127 5.159 Rh
3.221 1.042 4.083 Rh
5.053 3.127 0.685 Rh
7.305 1.042 1.761 Rh
9.242 3.127 5.035 Rh
11.494 1.042 6.112 Rh
13.327 3.127 2.714 Rh
15.579 1.042 1.637 Rh
```